# 1
First-principles (PBE) data for a relaxed Pu2ScCuS5 crystal, as listed in Alexandria via LeMat-Bulk.

## Properties
The calculation puts the uncorrected energy at -8.129 eV per atom. The crystal system is orthorhombic. For the density, the calculation gives 7.2 Mg/m³. For the formation energy (no corrections), the calculation gives -1492 meV per atom.

Cell and atoms, written as CIF:
```
data_Pu2ScCuS5
_symmetry_space_group_name_H-M 'C m c 21'
_symmetry_Int_Tables_number 36
_symmetry_space_group_name_Hall 'C 2c -2'
_cell_length_a 3.793
_cell_length_b 16.301
_cell_length_c 11.332
_cell_angle_alpha 90.00
_cell_angle_beta 90.00
_cell_angle_gamma 90.00
loop_
_atom_site_label
_atom_site_fract_x
_atom_site_fract_y
_atom_site_fract_z
Pu1 0.000 0.111 0.000
Pu2 0.000 0.123 0.626
Sc1 0.000 0.196 0.327
Cu1 0.000 0.438 0.763
S1 0.000 0.046 0.372
S2 0.000 0.290 0.983
S3 0.000 0.308 0.668
S4 0.000 0.356 0.318
S5 0.000 0.498 0.087
```

***

# 2
First-principles (PBE) data for a relaxed PuCuSeS crystal, as listed in Alexandria via LeMat-Bulk.

## Properties
The calculation puts the uncorrected energy at -7.493 eV per atom. The crystal system is trigonal. For the density, the calculation gives 8.1 Mg/m³. For the formation energy (no corrections), the calculation gives -983 meV per atom.

Cell and atoms, written as CIF:
```
data_PuCuSeS
_symmetry_space_group_name_H-M 'R -3 m'
_symmetry_Int_Tables_number 166
_symmetry_space_group_name_Hall '-R 3 2"'
_cell_length_a 4.2804
_cell_length_b 4.2804
_cell_length_c 32.3082
_cell_angle_alpha 90.00
_cell_angle_beta 90.00
_cell_angle_gamma 120.00
loop_
_atom_site_label
_atom_site_fract_x
_atom_site_fract_y
_atom_site_fract_z
Pu1 0.0000 0.0000 0.1060
Cu1 0.0000 0.0000 0.3038
Se1 0.0000 0.0000 0.3820
S1 0.0000 0.0000 0.1972
```

***

# 3
First-principles (PBE) data for a relaxed PuCu2SeS2 crystal, as listed in Alexandria via LeMat-Bulk.

## Properties
The calculation puts the uncorrected energy at -6.300 eV per atom. The crystal system is monoclinic. For the density, the calculation gives 6.0 Mg/m³. For the formation energy (no corrections), the calculation gives -590 meV per atom.

Cell and atoms, written as CIF:
```
data_PuCu2SeS2
_symmetry_space_group_name_H-M 'P 1 21/m 1'
_symmetry_Int_Tables_number 11
_symmetry_space_group_name_Hall '-P 2yb'
_cell_length_a 6.414
_cell_length_b 6.555
_cell_length_c 7.345
_cell_angle_alpha 90.00
_cell_angle_beta 112.15
_cell_angle_gamma 90.00
loop_
_atom_site_label
_atom_site_fract_x
_atom_site_fract_y
_atom_site_fract_z
Pu1 0.172 0.250 0.161
Cu1 0.090 0.750 0.283
Cu2 0.342 0.250 0.760
Se1 0.470 0.750 0.450
S1 0.167 0.502 0.857
```

***

> What is the formula in the first record?

Pu2ScCuS5